[1]
{"formula": "Pm5Pr2S5", "functional": "PBE", "state": "optimized geometry", "lattice": [[-1.623, 3.490, -0.589], [-3.010, -4.319, -4.426], [-6.947, -1.537, 10.041]], "species": ["S", "S", "S", "S", "S", "Pm", "Pr", "Pr", "Pm", "Pm", "Pm", "Pm"], "fractional_positions": [[0.701, 0.402, 0.832], [0.000, 0.000, 0.000], [0.873, 0.746, 0.570], [0.127, 0.254, 0.430], [0.299, 0.598, 0.168], [0.744, 0.488, 0.354], [0.973, 0.947, 0.222], [0.027, 0.053, 0.778], [0.256, 0.512, 0.646], [0.653, 0.307, 0.053], [0.347, 0.693, 0.947], [0.500, 0.000, 0.500]], "dft_energy_ev_per_atom": -6.058, "total_magnetization_mub_per_atom": 0.048, "e_form_raw_ev_per_atom": -1.562, "n_ef_per_ev_atom": 0.857}


[2]
{"formula": "LaMg2Ir", "functional": "PBE", "state": "optimized geometry", "lattice": [[-0.276, -3.982, -1.069], [1.104, -1.107, 3.836], [-5.028, -0.038, 1.436]], "species": ["Mg", "Mg", "La", "Ir"], "fractional_positions": [[0.500, 0.500, 0.000], [0.000, 0.000, 0.000], [0.000, 0.500, 0.500], [0.500, 0.000, 0.500]], "dft_energy_ev_per_atom": -4.506, "total_magnetization_mub_per_atom": 0.000, "ef_kj_per_mol_atoms": -25.2, "n_ef_per_ev_atom": 0.628}


[3]
{"formula": "In2CoAs", "functional": "PBE", "state": "optimized geometry", "lattice": [[-1.544, 1.354, -2.255], [-1.667, -2.526, -0.376], [-5.646, 2.891, 5.603]], "species": ["In", "Co", "In", "As"], "fractional_positions": [[0.000, 0.000, 0.942], [0.500, 0.500, 0.718], [0.500, 0.500, 0.261], [0.000, 0.000, 0.579]], "dft_energy_ev_per_atom": -4.274, "total_magnetization_mub_per_atom": 0.168, "ef_kj_per_mol_atoms": 3.2, "n_ef_per_ev_atom": 0.837}


[4]
{"formula": "Y2Ni2Sb", "functional": "PBE", "state": "optimized geometry", "lattice": [[-0.909, 0.401, 3.436], [-3.301, -1.164, -0.737], [0.330, -8.282, 2.916]], "species": ["Y", "Sb", "Ni", "Ni", "Y"], "fractional_positions": [[0.624, 0.624, 0.752], [0.000, 0.000, 0.000], [0.750, 0.250, 0.500], [0.250, 0.750, 0.500], [0.376, 0.376, 0.248]], "dft_energy_ev_per_atom": -6.114, "total_magnetization_mub_per_atom": 0.000, "e_form_raw_ev_per_atom": -0.391, "n_ef_per_ev_atom": 1.359, "relative_energy_mev_per_atom": 244}


[5]
{"formula": "Ti12Ga6W", "functional": "PBE", "state": "optimized geometry", "lattice": [[-0.341, 6.493, 1.994], [-2.853, -1.985, 5.845], [6.181, -0.569, 2.779]], "species": ["Ga", "Ti", "Ti", "Ti", "Ti", "Ti", "Ti", "W", "Ti", "Ga", "Ti", "Ga", "Ga", "Ti", "Ga", "Ti", "Ti", "Ga", "Ti"], "fractional_positions": [[0.878, 0.263, 0.724], [0.145, 0.371, 0.047], [0.558, 0.197, 0.477], [0.629, 0.953, 0.855], [0.442, 0.803, 0.523], [0.047, 0.145, 0.371], [0.197, 0.477, 0.558], [0.000, 0.000, 0.000], [0.371, 0.047, 0.145], [0.122, 0.737, 0.276], [0.855, 0.629, 0.953], [0.276, 0.122, 0.737], [0.737, 0.276, 0.122], [0.953, 0.855, 0.629], [0.724, 0.878, 0.263], [0.477, 0.558, 0.197], [0.803, 0.523, 0.442], [0.263, 0.724, 0.878], [0.523, 0.442, 0.803]], "dft_energy_ev_per_atom": -6.834, "total_magnetization_mub_per_atom": 0.000, "ef_kj_per_mol_atoms": -20.3, "n_ef_per_ev_atom": 1.161}


[6]
{"formula": "Mg2AuSBr", "functional": "PBE", "state": "optimized geometry", "lattice": [[5.323, 0.000, 0.000], [0.000, 4.683, 0.000], [0.000, 0.000, 5.323]], "species": ["S", "Au", "Mg", "Br", "Mg"], "fractional_positions": [[0.000, 0.500, 0.000], [0.000, 0.000, 0.000], [0.000, 0.000, 0.500], [0.500, 0.500, 0.500], [0.500, 0.000, 0.000]], "dft_energy_ev_per_atom": -2.669, "total_magnetization_mub_per_atom": 0.000, "e_form_raw_ev_per_atom": -0.216, "n_ef_per_ev_atom": 0.503}


[7]
{"formula": "La2BeAl", "functional": "PBE", "state": "optimized geometry", "lattice": [[-0.663, 3.140, -1.792], [-3.417, -1.133, -0.721], [-5.796, 1.997, 5.646]], "species": ["Al", "La", "Be", "La"], "fractional_positions": [[0.500, 0.250, 0.250], [0.000, 0.482, 0.519], [0.500, 0.750, 0.750], [0.000, 0.018, 0.981]], "dft_energy_ev_per_atom": -4.390, "total_magnetization_mub_per_atom": 0.000, "ef_kj_per_mol_atoms": -5.7, "n_ef_per_ev_atom": 0.945, "relative_energy_mev_per_atom": 53}


[8]
{"formula": "Te6Mo3WS2", "functional": "PBE", "state": "optimized geometry", "lattice": [[3.449, 0.000, 0.000], [-1.725, 2.987, 0.000], [0.000, 0.000, 33.685]], "species": ["Te", "S", "Mo", "S", "Te", "Te", "Te", "Te", "Mo", "Te", "W", "Mo"], "fractional_positions": [[0.667, 0.333, 0.094], [0.333, 0.667, 0.663], [0.333, 0.667, 0.492], [0.333, 0.667, 0.751], [0.333, 0.667, 0.210], [0.667, 0.333, 0.437], [0.333, 0.667, 0.320], [0.667, 0.333, 0.547], [0.667, 0.333, 0.265], [0.667, 0.333, 0.984], [0.667, 0.333, 0.707], [0.333, 0.667, 0.039]], "dft_energy_ev_per_atom": -6.399, "total_magnetization_mub_per_atom": 0.000, "e_form_raw_ev_per_atom": -0.353, "n_ef_per_ev_atom": 0.234, "relative_energy_mev_per_atom": 0}


[9]
{"formula": "PrPuMgZn", "functional": "PBE", "state": "optimized geometry", "lattice": [[5.307, 0.000, 0.000], [2.653, 4.596, 0.000], [2.653, 1.532, 4.333]], "species": ["Mg", "Pu", "Pr", "Zn"], "fractional_positions": [[0.250, 0.250, 0.250], [0.500, 0.500, 0.500], [0.000, 0.000, 0.000], [0.750, 0.750, 0.750]], "dft_energy_ev_per_atom": -5.477, "total_magnetization_mub_per_atom": 1.580, "ef_kj_per_mol_atoms": 1.7, "n_ef_per_ev_atom": 2.378}


[10]
{"formula": "YRe2Pb", "functional": "PBE", "state": "optimized geometry", "lattice": [[-4.284, -6.726, 4.759], [-1.407, -6.815, 6.149], [-3.599, -4.713, 7.147]], "species": ["Pb", "Y", "Re", "Re"], "fractional_positions": [[0.750, 0.750, 0.750], [0.250, 0.250, 0.250], [0.003, 0.003, 0.003], [0.497, 0.497, 0.497]], "dft_energy_ev_per_atom": -7.776, "total_magnetization_mub_per_atom": 0.000, "ef_kj_per_mol_atoms": 95.6, "n_ef_per_ev_atom": 1.240}


[11]
{"formula": "PmEuZnNi", "functional": "PBE", "state": "optimized geometry", "lattice": [[-1.717, 1.355, 4.577], [2.962, -0.541, 4.083], [1.903, 4.094, 2.313]], "species": ["Zn", "Ni", "Eu", "Pm"], "fractional_positions": [[0.250, 0.250, 0.250], [0.750, 0.750, 0.750], [0.500, 0.500, 0.500], [0.000, 0.000, 0.000]], "dft_energy_ev_per_atom": -5.707, "total_magnetization_mub_per_atom": 1.738, "ef_kj_per_mol_atoms": -18.1, "n_ef_per_ev_atom": 1.743}


[12]
{"formula": "Lu2PaCo", "functional": "PBE", "state": "optimized geometry", "lattice": [[3.253, 0.000, 0.000], [0.000, 3.253, 0.000], [0.000, 0.000, 8.366]], "species": ["Lu", "Co", "Lu", "Pa"], "fractional_positions": [[0.000, 0.000, 0.192], [0.500, 0.500, 0.000], [0.000, 0.000, 0.808], [0.500, 0.500, 0.500]], "dft_energy_ev_per_atom": -6.431, "total_magnetization_mub_per_atom": 0.254, "ef_kj_per_mol_atoms": -1.9, "n_ef_per_ev_atom": 1.330, "relative_energy_mev_per_atom": 0}